# La5Y | Alexandria via LeMat-Bulk | SCAN | single point on PBEsol structure
data_La5Y
_chemical_formula_sum 'La5 Y1'
_cell_length_a 3.624
_cell_length_b 3.624
_cell_length_c 15.203
_cell_angle_alpha 90.00
_cell_angle_beta 90.00
_cell_angle_gamma 90.00
_symmetry_space_group_name_H-M 'P 4/m m m'
_symmetry_Int_Tables_number 123
_symmetry_space_group_name_Hall '-P 4 2'
loop_
_atom_site_label
_atom_site_type_symbol
_atom_site_fract_x
_atom_site_fract_y
_atom_site_fract_z
La1 La 0.000 0.000 0.000
La2 La 0.000 0.000 0.335
La3 La 0.500 0.500 0.169
Y1 Y 0.500 0.500 0.500
# ρ   6.52 Mg/m³
# Magnetization   0.000 μB/atom
# Energy relative to the lowest polymorph listed for this composition   0.001 eV per atom
# Raw total energy   -40.540 eV/atom
# DOS at the Fermi energy   9.61 states/eV per cell
# ΔH_f (0 K)   0.02 eV/atom